The following is a GGA-PBEsol calculation of a relaxed structure of CoPtAu2, from Alexandria.

For the calculated density, the calculation gives 17.84 g cm⁻³. The value obtained for the energy above the most stable polymorph in this dataset is 189.4 meV per atom. The calculation puts the density of states at the Fermi level at 1.28 states/eV per atom. The energy of formation from the pure elements is 0.234 eV per atom.

Unit cell a=4.402 b=4.402 c=4.402 alpha=60.00 beta=60.00 gamma=60.00
Sites, in units of the cell vectors:
Co1 0.000 0.000 0.000
Pt1 0.500 0.500 0.500
Au1 0.250 0.250 0.250
Au2 0.750 0.750 0.750

***

The following is a GGA-PBEsol calculation of a relaxed structure of Co2PtAu, from Alexandria.

For the calculated density, the calculation gives 15.88 g cm⁻³. The value obtained for the energy above the most stable polymorph in this dataset is 13.9 meV per atom. The calculation puts the density of states at the Fermi level at 1.29 states/eV per atom. The energy of formation from the pure elements is 0.121 eV per atom.

Unit cell a=4.642 b=4.642 c=4.642 alpha=132.51 beta=132.51 gamma=69.43
Sites, in units of the cell vectors:
Co1 0.000 0.000 0.000
Co2 0.750 0.250 0.500
Pt1 0.500 0.500 0.000
Au1 0.250 0.750 0.500

***

The following is a GGA-PBEsol calculation of a relaxed structure of CoPt2Au, from Alexandria.

For the calculated density, the calculation gives 18.54 g cm⁻³. The calculation puts the density of states at the Fermi level at 0.90 states/eV per atom. The energy of formation from the pure elements is 0.062 eV per atom.

Unit cell a=4.753 b=4.753 c=4.753 alpha=132.14 beta=132.14 gamma=70.00
Sites, in units of the cell vectors:
Co1 0.000 0.000 0.000
Pt1 0.250 0.750 0.500
Pt2 0.750 0.250 0.500
Au1 0.500 0.500 0.000

***

The following is a GGA-PBEsol calculation of a relaxed structure of CoPtAu2, from Alexandria.

For the calculated density, the calculation gives 17.91 g cm⁻³. The value obtained for the energy above the most stable polymorph in this dataset is 40.8 meV per atom. The calculation puts the density of states at the Fermi level at 0.91 states/eV per atom. The energy of formation from the pure elements is 0.086 eV per atom.

Unit cell a=9.168 b=9.168 c=9.168 alpha=17.39 beta=17.39 gamma=17.39
Sites, in units of the cell vectors:
Co1 0.000 0.000 0.000
Pt1 0.740 0.740 0.740
Au1 0.254 0.254 0.254
Au2 0.496 0.496 0.496

***

Copy entry 3 word for word.
The following is a GGA-PBEsol calculation of a relaxed structure of CoPt2Au, from Alexandria.

For the calculated density, the calculation gives 18.54 g cm⁻³. The calculation puts the density of states at the Fermi level at 0.90 states/eV per atom. The energy of formation from the pure elements is 0.062 eV per atom.

Unit cell a=4.753 b=4.753 c=4.753 alpha=132.14 beta=132.14 gamma=70.00
Sites, in units of the cell vectors:
Co1 0.000 0.000 0.000
Pt1 0.250 0.750 0.500
Pt2 0.750 0.250 0.500
Au1 0.500 0.500 0.000

***

What did the first record say?
The following is a GGA-PBEsol calculation of a relaxed structure of CoPtAu2, from Alexandria.

For the calculated density, the calculation gives 17.84 g cm⁻³. The value obtained for the energy above the most stable polymorph in this dataset is 189.4 meV per atom. The calculation puts the density of states at the Fermi level at 1.28 states/eV per atom. The energy of formation from the pure elements is 0.234 eV per atom.

Unit cell a=4.402 b=4.402 c=4.402 alpha=60.00 beta=60.00 gamma=60.00
Sites, in units of the cell vectors:
Co1 0.000 0.000 0.000
Pt1 0.500 0.500 0.500
Au1 0.250 0.250 0.250
Au2 0.750 0.750 0.750

***

Q: Which value of calculated density does entry 4 give?
A: 17.91 g cm⁻³

***

Q: Among the records above, which one has the lowest calculated density?
A: Co2PtAu